Record 1
## CaScPt2 (GGA-PBE)

Data for crystalline CaScPt2 at its relaxed geometry.

Values from the calculation:
The calculation puts the mass density at 10.53 Mg/m³. Its magnetic moment is 0.0 μB per formula unit. For the total energy, the calculation gives -22.87 eV for the cell shown. The formation enthalpy at 0 K comes out at -0.61 eV per atom.

Cell and atoms, written as POSCAR:
```
CaScPt2
1.0
0.000 3.346 3.346
3.346 0.000 3.346
3.346 3.346 0.000
Ca Sc Pt
1 1 2
direct
0.000 0.000 0.000 Ca
0.250 0.250 0.250 Sc
0.500 0.500 0.500 Pt
0.750 0.750 0.750 Pt
```

=====

Record 2
## Pr7Ga2Au2 (GGA-PBE)

Data for crystalline Pr7Ga2Au2 at its relaxed geometry.

Values from the calculation:
The calculation puts the mass density at 7.35 Mg/m³. Its magnetic moment is 0.0 μB per formula unit. For the total energy, the calculation gives -49.05 eV for the cell shown. The formation enthalpy at 0 K comes out at -0.27 eV per atom.

Cell and atoms, written as POSCAR:
```
Pr7Ga2Au2
1.0
4.075 -5.640 0.000
4.075 5.640 0.000
0.000 0.000 7.467
Pr Ga Au
7 2 2
direct
0.000 0.000 0.000 Pr
0.000 0.500 0.283 Pr
0.000 0.500 0.717 Pr
0.500 0.000 0.283 Pr
0.500 0.000 0.717 Pr
0.500 0.500 0.269 Pr
0.500 0.500 0.731 Pr
0.159 0.159 0.500 Ga
0.841 0.841 0.500 Ga
0.287 0.713 0.000 Au
0.713 0.287 0.000 Au
```

=====

Record 3
## Re2MoRh (GGA-PBE)

Data for crystalline Re2MoRh at its relaxed geometry.

Values from the calculation:
The calculation puts the mass density at 15.81 Mg/m³. Its magnetic moment is 0.0 μB per formula unit. For the total energy, the calculation gives -43.00 eV for the cell shown. Its energy above the most stable polymorph in this dataset is 0.057 eV per atom. The formation enthalpy at 0 K comes out at 0.02 eV per atom.

Cell and atoms, written as POSCAR:
```
Re2MoRh
1.0
4.585 -1.373 0.000
4.585 1.373 0.000
-0.819 0.000 4.767
Re Mo Rh
2 1 1
direct
0.000 0.000 0.000 Re
0.250 0.250 0.763 Re
0.498 0.498 0.497 Mo
0.746 0.746 0.253 Rh
```

=====

Record 4
## CaIn (GGA-PBE)

Data for crystalline CaIn at its relaxed geometry.

Values from the calculation:
The calculation puts the mass density at 4.08 Mg/m³. Its magnetic moment is 0.0 μB per formula unit. For the total energy, the calculation gives -10.44 eV for the cell shown. The formation enthalpy at 0 K comes out at -0.24 eV per atom.

Cell and atoms, written as POSCAR:
```
CaIn
1.0
2.661 -2.668 0.000
2.661 2.668 0.000
0.000 0.000 8.878
Ca In
2 2
direct
0.250 0.750 0.831 Ca
0.750 0.250 0.169 Ca
0.250 0.750 0.403 In
0.750 0.250 0.597 In
```

=====

Record 5
## Rb2TmBiSe4 (GGA-PBE)

Data for crystalline Rb2TmBiSe4 at its relaxed geometry.

Values from the calculation:
The calculation puts the mass density at 5.66 Mg/m³. Its magnetic moment is 0.0 μB per formula unit. As for the uncorrected formation energy: -1.25 eV per atom. For the total energy, the calculation gives -34.26 eV for the cell shown.

Cell and atoms, written as POSCAR:
```
Rb2TmBiSe4
1.0
7.440 0.000 0.000
0.000 4.269 0.000
-2.441 0.000 7.991
Rb Tm Bi Se
2 1 1 4
direct
0.000 0.000 0.000 Rb
0.500 0.500 0.000 Rb
0.000 0.500 0.500 Tm
0.500 0.000 0.500 Bi
0.222 0.000 0.695 Se
0.256 0.500 0.301 Se
0.744 0.500 0.699 Se
0.778 0.000 0.305 Se
```

=====

Record 6
## KAsIrPt (GGA-PBE)

Data for crystalline KAsIrPt at its relaxed geometry.

Values from the calculation:
The calculation puts the mass density at 8.70 Mg/m³. Its magnetic moment is 0.0 μB per formula unit. For the total energy, the calculation gives -43.00 eV for the cell shown. The formation enthalpy at 0 K comes out at -0.21 eV per atom.

Cell and atoms, written as POSCAR:
```
KAsIrPt
1.0
3.910 0.000 0.000
0.000 3.910 0.000
0.000 0.000 12.521
K As Ir Pt
2 2 2 2
direct
0.250 0.250 0.212 K
0.750 0.750 0.788 K
0.250 0.250 0.618 As
0.750 0.750 0.382 As
0.250 0.750 0.500 Ir
0.750 0.250 0.500 Ir
0.250 0.750 0.000 Pt
0.750 0.250 0.000 Pt
```

=====

Record 7
## Pr6HoSc2 (GGA-PBE)

Data for crystalline Pr6HoSc2 at its relaxed geometry.

Values from the calculation:
The calculation puts the mass density at 6.18 Mg/m³. Its magnetic moment is 0.0 μB per formula unit. For the total energy, the calculation gives -45.26 eV for the cell shown. Its energy above the most stable polymorph in this dataset is 0.000 eV per atom. The formation enthalpy at 0 K comes out at 0.07 eV per atom.

Cell and atoms, written as POSCAR:
```
Pr6HoSc2
1.0
6.043 -2.839 0.000
6.043 2.839 0.000
-5.889 0.000 8.619
Pr Ho Sc
6 1 2
direct
0.060 0.060 0.385 Pr
0.284 0.284 0.945 Pr
0.333 0.333 0.336 Pr
0.667 0.667 0.664 Pr
0.716 0.716 0.055 Pr
0.940 0.940 0.615 Pr
0.000 0.000 0.000 Ho
0.390 0.390 0.726 Sc
0.610 0.610 0.274 Sc
```

=====

Record 8
## YSc2InP (GGA-PBE)

Data for crystalline YSc2InP at its relaxed geometry.

Values from the calculation:
The calculation puts the mass density at 4.27 Mg/m³. Its magnetic moment is 0.0 μB per formula unit. For the total energy, the calculation gives -30.99 eV for the cell shown. Its energy above the most stable polymorph in this dataset is 0.000 eV per atom. The formation enthalpy at 0 K comes out at -0.74 eV per atom.

Cell and atoms, written as POSCAR:
```
YSc2InP
1.0
4.920 0.000 0.000
0.000 4.920 0.000
0.000 0.000 5.215
Y Sc In P
1 2 1 1
direct
0.000 0.000 0.000 Y
0.000 0.500 0.500 Sc
0.500 0.000 0.500 Sc
0.500 0.500 0.000 In
0.000 0.000 0.500 P
```